A plane-wave DFT calculation with SCAN was carried out for a PBEsol-optimized structure of LiAsI2O. Values from VASP.

Properties
Symmetry   No. 123
Formation energy (no corrections)   0.09 eV per atom
Crystal system   tetragonal

Geometry as Quantum ESPRESSO input:
```
&SYSTEM
  ibrav = 0, nat = 5, ntyp = 4
/
ATOMIC_SPECIES
Li 6.94 Li.upf
As 74.92 As.upf
I 126.90 I.upf
O 16.00 O.upf
ATOMIC_POSITIONS angstrom
Li 0.0000 0.0000 0.0000
As 2.6425 2.6425 1.8116
I 0.0000 2.6425 0.0000
I 2.6425 0.0000 0.0000
O 0.0000 0.0000 1.8116
CELL_PARAMETERS angstrom
5.2851 0.0000 0.0000
0.0000 5.2851 0.0000
0.0000 0.0000 3.6232
```

=====

A plane-wave DFT calculation with SCAN was carried out for a PBEsol-optimized structure of Cs3TlO3. Values from VASP.

Properties
Symmetry   No. 12
Distance to the lowest polymorph of the same formula   0.0108 eV per atom
Formation energy (no corrections)   -1.21 eV per atom
Crystal system   monoclinic

Geometry as Quantum ESPRESSO input:
```
&SYSTEM
  ibrav = 0, nat = 14, ntyp = 3
/
ATOMIC_SPECIES
Cs 132.91 Cs.upf
Tl 204.38 Tl.upf
O 16.00 O.upf
ATOMIC_POSITIONS angstrom
Cs 3.9786 3.7381 0.0000
Cs 3.2261 3.0142 3.5932
Cs 2.6775 0.0000 1.1192
Cs 3.7747 0.0000 6.0672
Cs 3.2261 -3.0142 3.5932
Cs 3.9786 -3.7381 0.0000
Tl 0.4586 0.0000 4.6929
Tl 5.9935 0.0000 2.4935
O 0.2667 0.0000 2.4660
O 1.2546 1.7737 5.5697
O 1.2546 -1.7737 5.5697
O 5.1976 1.7737 1.6168
O 5.1976 -1.7737 1.6168
O 6.1854 0.0000 4.7204
CELL_PARAMETERS angstrom
3.9786 -6.1634 0.0000
3.9786 6.1634 0.0000
-1.5051 0.0000 7.1864
```

=====

A plane-wave DFT calculation with SCAN was carried out for a PBEsol-optimized structure of AlAg3. Values from VASP.

Properties
Symmetry   No. 123
DFT total energy   -25.520 eV/atom
Crystal system   tetragonal

Geometry as Quantum ESPRESSO input:
```
&SYSTEM
  ibrav = 0, nat = 8, ntyp = 2
/
ATOMIC_SPECIES
Al 26.98 Al.upf
Ag 107.87 Ag.upf
ATOMIC_POSITIONS angstrom
Al 0.0000 0.0000 1.8891
Al 0.0000 0.0000 13.6375
Ag 0.0000 0.0000 5.7713
Ag 0.0000 0.0000 9.7554
Ag 1.4463 1.4463 0.0000
Ag 1.4463 1.4463 3.7243
Ag 1.4463 1.4463 7.7633
Ag 1.4463 1.4463 11.8024
CELL_PARAMETERS angstrom
2.8926 0.0000 0.0000
0.0000 2.8926 0.0000
0.0000 0.0000 15.5267
```